i.
Compound: MgGa2Ni2
Source: the Alexandria database
Functional: GGA-PBE
Structure: relaxed

```
MgGa2Ni2
1.0
4.2037 0.0000 0.0000
-2.1018 3.6405 0.0000
0.0000 0.0000 4.8535
Mg Ga Ni
1 2 2
Cartesian
0.0000 0.0000 0.0000
0.0000 2.4270 3.1489
2.1019 1.2135 1.7045
0.0000 2.4270 0.7339
2.1019 1.2135 4.1196
```

Results
N(E_F) = 4.09 states/eV/f.u.

ii.
Compound: MgGa2Ni2
Source: the Alexandria database
Functional: GGA-PBE
Structure: relaxed

```
MgGa2Ni2
1.0
3.7973 0.0000 0.0000
0.0000 3.7973 0.0000
0.0000 0.0000 10.6998
Mg Ga Ni
2 4 4
Cartesian
0.0000 0.0000 0.0000
1.8986 1.8986 5.3499
0.0000 0.0000 4.1096
0.0000 0.0000 6.5902
1.8986 1.8986 1.2403
1.8986 1.8986 9.4596
0.0000 1.8986 2.6750
0.0000 1.8986 8.0249
1.8986 0.0000 2.6750
1.8986 0.0000 8.0249
```

Results
N(E_F) = 2.14 states/eV/f.u.

iii.
Compound: MgGa2Ni2
Source: the Alexandria database
Functional: GGA-PBE
Structure: relaxed

```
MgGa2Ni2
1.0
6.9008 0.0000 0.0000
0.0000 6.9008 0.0000
0.0000 0.0000 2.9396
Mg Ga Ni
2 4 4
Cartesian
0.0000 0.0000 0.0000
3.4504 3.4504 0.0000
1.0653 2.3851 1.4698
2.3851 5.8355 1.4698
4.5157 1.0653 1.4698
5.8355 4.5157 1.4698
0.9711 4.4215 0.0000
2.4793 0.9711 0.0000
4.4215 5.9297 0.0000
5.9297 2.4793 0.0000
```

Results
N(E_F) = 1.27 states/eV/f.u.

Energy relative to the most stable one, in eV/atom: i 0.007; ii 0.122; iii 0.000

i.
Compound: Mg3Ga3Ni2
Source: the Alexandria database
Functional: GGA-PBE
Structure: relaxed

```
Mg3Ga3Ni2
1.0
7.1056 0.0000 0.0000
0.0000 14.4727 0.0000
0.0000 0.0000 5.2461
Mg Ga Ni
12 12 8
Cartesian
0.2184 1.6698 0.5294
0.2184 5.5665 0.5294
1.2728 3.6182 3.3232
2.2800 10.8545 0.7002
3.3344 8.9061 3.1525
3.3344 12.8029 3.1525
3.7712 1.6698 2.0936
3.7712 5.5665 2.0936
4.8256 3.6182 4.5459
5.8328 10.8545 1.9228
6.8872 8.9061 4.7166
6.8872 12.8029 4.7166
1.1822 10.8545 3.3128
1.2757 0.5007 3.1680
1.2757 6.7357 3.1680
2.2771 7.7370 0.5450
2.2771 13.9720 0.5450
2.3706 3.6182 0.6897
4.7350 10.8545 4.5563
4.8285 0.5007 4.7011
4.8285 6.7357 4.7011
5.8299 7.7370 2.0780
5.8299 13.9720 2.0780
5.9234 3.6182 1.9333
0.8416 8.8594 2.0656
0.8416 12.8496 2.0656
2.7111 1.6231 4.6886
2.7111 5.6133 4.6886
4.3944 8.8594 0.5575
4.3944 12.8496 0.5575
6.2639 1.6231 3.1805
6.2639 5.6133 3.1805
```

Results
N(E_F) = 2.40 states/eV/f.u.

ii.
Compound: Mg3Ga3Ni2
Source: the Alexandria database
Functional: GGA-PBE
Structure: relaxed

```
Mg3Ga3Ni2
1.0
2.0503 -4.8354 0.0000
2.0503 4.8354 0.0000
0.0000 0.0000 13.5624
Mg Ga Ni
6 6 4
Cartesian
2.0503 4.1330 8.2851
2.0503 4.1330 12.0586
2.0503 1.3773 10.1718
2.0503 -1.3773 3.3906
2.0503 -4.1330 1.5038
2.0503 -4.1330 5.2774
2.0503 1.4378 3.3906
2.0503 1.2741 7.2941
2.0503 1.2741 13.0496
2.0503 -1.2741 0.5129
2.0503 -1.2741 6.2684
2.0503 -1.4378 10.1718
2.0503 2.7875 1.4391
2.0503 2.7875 5.3421
2.0503 -2.7875 8.2203
2.0503 -2.7875 12.1233
```

Results
N(E_F) = 3.67 states/eV/f.u.

Energy relative to the most stable one, in eV/atom: i 0.000; ii 0.018

i.
Compound: MgGaNiRu
Source: the Alexandria database
Functional: GGA-PBE
Structure: relaxed

```
MgGaNiRu
1.0
6.0275 0.0000 0.0000
0.0000 6.0275 0.0000
0.0000 0.0000 6.0275
Mg Ga Ni Ru
4 4 4 4
Cartesian
0.0000 0.0000 0.0000
0.0000 3.0137 3.0137
3.0137 0.0000 3.0137
3.0137 3.0137 0.0000
0.0000 0.0000 3.0137
0.0000 3.0137 0.0000
3.0137 0.0000 0.0000
3.0137 3.0137 3.0137
1.5069 1.5069 4.5206
1.5069 4.5206 1.5069
4.5206 1.5069 1.5069
4.5206 4.5206 4.5206
1.5069 1.5069 1.5069
1.5069 4.5206 4.5206
4.5206 1.5069 4.5206
4.5206 4.5206 1.5069
```

Results
N(E_F) = 2.16 states/eV/f.u.

ii.
Compound: MgGaNiRu
Source: the Alexandria database
Functional: GGA-PBE
Structure: relaxed

```
MgGaNiRu
1.0
3.1976 0.0000 0.0000
0.0000 4.0912 0.0000
0.0000 0.0000 4.2103
Mg Ga Ni Ru
1 1 1 1
Cartesian
0.0000 0.0000 0.0000
0.0000 2.0456 2.1052
1.5988 2.0456 0.0000
1.5988 0.0000 2.1052
```

Results
N(E_F) = 1.45 states/eV/f.u.

Energy relative to the most stable one, in eV/atom: i 0.014; ii 0.000

i.
Compound: MgGa2O
Source: the Alexandria database
Functional: GGA-PBE
Structure: relaxed

```
MgGa2O
1.0
6.4472 0.0000 0.0000
0.0000 6.4472 0.0000
0.0000 0.0000 6.6792
Mg Ga O
4 8 4
Cartesian
0.0000 0.0000 0.0000
0.0000 3.2236 1.6698
3.2236 0.0000 5.0094
3.2236 3.2236 3.3396
1.1016 4.8354 4.1745
1.6118 1.1016 2.5047
1.6118 2.1220 5.8443
2.1220 4.8354 0.8349
4.3252 1.6118 0.8349
4.8354 4.3252 5.8443
4.8354 5.3456 2.5047
5.3456 1.6118 4.1745
0.0000 0.0000 3.3396
0.0000 3.2236 5.0094
3.2236 0.0000 1.6698
3.2236 3.2236 0.0000
```

Results
N(E_F) = 0.81 states/eV/f.u.

ii.
Compound: MgGa2O
Source: the Alexandria database
Functional: GGA-PBE
Structure: relaxed

```
MgGa2O
1.0
6.4911 0.0000 0.0000
0.0000 6.4911 0.0000
0.0000 0.0000 6.4911
Mg Ga O
4 8 4
Cartesian
0.0000 0.0000 0.0000
0.0000 3.2456 3.2456
3.2456 0.0000 3.2456
3.2456 3.2456 0.0000
1.6228 1.6228 1.6228
1.6228 1.6228 4.8683
1.6228 4.8683 1.6228
1.6228 4.8683 4.8683
4.8683 1.6228 1.6228
4.8683 1.6228 4.8683
4.8683 4.8683 1.6228
4.8683 4.8683 4.8683
0.0000 0.0000 3.2456
0.0000 3.2456 0.0000
3.2456 0.0000 0.0000
3.2456 3.2456 3.2456
```

Results
N(E_F) = 1.20 states/eV/f.u.

Energy relative to the most stable one, in eV/atom: i 0.000; ii 0.559

i.
Compound: MgGaP2O
Source: the Alexandria database
Functional: GGA-PBE
Structure: relaxed

```
MgGaP2O
1.0
5.0536 0.0000 0.0000
0.0000 5.0536 0.0000
0.0000 0.0000 3.6236
Mg Ga P O
1 1 2 1
Cartesian
0.0000 0.0000 0.0000
2.5268 2.5268 1.8118
0.0000 2.5268 0.0000
2.5268 0.0000 0.0000
0.0000 0.0000 1.8118
```

Results
N(E_F) = 4.31 states/eV/f.u.

ii.
Compound: MgGaP2O
Source: the Alexandria database
Functional: GGA-PBE
Structure: relaxed

```
MgGaP2O
1.0
5.0304 0.0000 0.0000
0.0000 5.0304 0.0000
0.0000 0.0000 3.5482
Mg Ga P O
1 1 2 1
Cartesian
0.0000 0.0000 0.0000
2.5152 2.5152 1.7741
0.0000 2.5152 1.7741
2.5152 0.0000 1.7741
2.5152 2.5152 0.0000
```

Results
N(E_F) = 3.64 states/eV/f.u.

Energy relative to the most stable one, in eV/atom: i 0.196; ii 0.000